(1)
Computed, not measured: a geometry-optimized CaTiTl3 structure at the PBE level of DFT.

Cell lengths 5.383, 5.383, 5.383 Å; angles 90.00, 90.00, 90.00 degrees
Fractional positions:
Tl 0.000 0.500 0.000
Tl 0.000 0.000 0.500
Tl 0.500 0.000 0.000
Ca 0.500 0.500 0.500
Ti 0.000 0.000 0.000

size of the total moment = 0.0 μB per cell
space-group type = Pm-3m
ΔE_f = 0.1360 eV/atom
ΔE to the lowest computed polymorph = 0 meV per atom
ρ = 7.5 Mg/m³

(2)
Computed, not measured: a geometry-optimized Pr2NdY2Ho structure at the PBE level of DFT.

Cell lengths 3.425, 6.698, 18.206 Å; angles 90.00, 90.00, 90.00 degrees
Fractional positions:
Pr 0.500 0.271 0.316
Pr 0.000 0.771 0.184
Pr 0.500 0.729 0.684
Pr 0.000 0.229 0.816
Nd 0.500 0.500 0.000
Nd 0.000 0.000 0.500
Y 0.500 0.773 0.353
Y 0.500 0.227 0.647
Y 0.000 0.727 0.853
Y 0.000 0.273 0.147
Ho 0.000 0.000 0.000
Ho 0.500 0.500 0.500

size of the total moment = 0.0 μB per cell
space-group type = Pnnm
ΔE_f = 0.2687 eV/atom
ρ = 6.1 Mg/m³

(3)
Computed, not measured: a geometry-optimized RbLaSb2Ir structure at the PBE level of DFT.

Cell lengths 6.215, 5.160, 6.215 Å; angles 90.00, 90.00, 90.00 degrees
Site moments in Bohr magnetons follow the coordinates.
Fractional positions:
Sb 0.000 0.000 0.500  -0.02
Sb 0.500 0.000 0.000  0.00
Ir 0.000 0.500 0.000  0.14
Rb 0.500 0.500 0.500  0.00
La 0.000 0.000 0.000  0.00

size of the total moment = 0.1 μB per cell
space-group type = P4/mmm
E_tot = -20.5 eV/cell
ρ = 5.5 Mg/m³